# ZnReNi2Bi

Crystalline ZnReNi2Bi at its relaxed geometry (PBE, Alexandria).

abc: 4.610 4.610 5.239
angles: 90.00 90.00 90.00
Space group P4/mmm (No. 123)
One atom of each set of equivalent atoms:
Zn (0.000, 0.000, 0.000) [1 per cell]
Re (0.500, 0.500, 0.500) [1 per cell]
Ni (0.000, 0.500, 0.500) [2 per cell]
Bi (0.500, 0.500, 0.000) [1 per cell]

## Properties
E_form   1.2162 eV per atom

# U3Mn5H12

Crystalline U3Mn5H12 at its relaxed geometry (PBE, Alexandria).

abc: 11.227 11.227 11.227
angles: 90.00 90.00 90.00
Space group Ia-3d (No. 230)
One atom of each set of equivalent atoms:
U (0.000, 0.250, 0.125) [24 per cell]
Mn (0.000, 0.000, 0.000) [16 per cell]
Mn (0.000, 0.250, 0.375) [24 per cell]
H (0.033, 0.054, 0.636) [96 per cell]

# TlAsSe2

Crystalline TlAsSe2 at its relaxed geometry (PBE, Alexandria).

abc: 8.269 8.268 2.902
angles: 90.00 90.59 90.00
Space group C2/m (No. 12)
One atom of each set of equivalent atoms:
Tl (0.000, 0.000, 0.000) [2 per cell]
As (0.000, 0.500, 0.000) [2 per cell]
Se (0.250, 0.250, 0.000) [4 per cell]

## Properties
E_form (uncorrected)   0.07 eV per atom

# RbAl2As

Crystalline RbAl2As at its relaxed geometry (PBE, Alexandria).

abc: 8.377 8.377 6.485
angles: 90.00 90.00 90.00
Space group I-42d (No. 122)
One atom of each set of equivalent atoms:
Rb (0.000, 0.000, 0.000) [4 per cell]
Al (0.169, 0.750, 0.625) [8 per cell]
As (0.000, 0.000, 0.500) [4 per cell]

## Properties
E_form   0.1609 eV per atom

Number 1: calculated total energy -4.62 eV/atom. Number 2: calculated total energy -6.03 eV/atom. Number 3: calculated total energy -3.43 eV/atom. Number 4: calculated total energy -3.11 eV/atom.